*w*
VASP calculation (PBE-GGA) on a geometry-optimized Ba2W structure.

Cell: 5.6478 5.6478 5.6478 Å, 60.00 60.00 60.00°
Fractional positions:
Ba 0.2500 0.2500 0.2500
Ba 0.7500 0.7500 0.7500
W 0.0000 0.0000 0.0000

Crystal system: cubic
Calculated volume: 42.46 Å³ per atom


*x*
VASP calculation (PBE-GGA) on a geometry-optimized Ba2W structure.

Cell: 6.9498 6.9498 6.9498 Å, 60.00 60.00 60.00°
Fractional positions:
Ba 0.0000 0.0000 0.0000
Ba 0.0000 0.0000 0.5000
Ba 0.0000 0.5000 0.0000
Ba 0.5000 0.0000 0.0000
W 0.3750 0.3750 0.3750
W 0.6250 0.6250 0.6250

Crystal system: cubic
Calculated volume: 39.56 Å³ per atom


Result of the stability comparison: *x* is the least stable of them.


*w*
VASP calculation (PBE-GGA) on a geometry-optimized Ba2W structure.

Cell: 9.1468 9.1468 7.3479 Å, 106.74 106.74 24.25°
Fractional positions:
Ba 0.1058 0.1058 0.0724
Ba 0.1535 0.1535 0.6133
Ba 0.8465 0.8465 0.3867
Ba 0.8942 0.8942 0.9276
W 0.4991 0.4991 0.6531
W 0.5009 0.5009 0.3469

Crystal system: monoclinic
Calculated volume: 40.22 Å³ per atom


*x*
VASP calculation (PBE-GGA) on a geometry-optimized Ba2W structure.

Cell: 9.1566 9.1566 9.1566 Å, 158.65 158.65 30.37°
Fractional positions:
Ba 0.1355 0.1355 0.0000
Ba 0.8645 0.8645 0.0000
W 0.5000 0.5000 0.0000

Crystal system: tetragonal
Calculated volume: 33.89 Å³ per atom


Result of the stability comparison: *x* is the least stable of them.


*w*
VASP calculation (PBE-GGA) on a geometry-optimized Ba2W structure.

Cell: 16.5787 16.5787 4.0898 Å, 90.00 90.00 167.11°
Fractional positions:
Ba 0.0794 0.9206 0.7500
Ba 0.1961 0.8039 0.2500
Ba 0.8039 0.1961 0.7500
Ba 0.9206 0.0794 0.2500
W 0.4793 0.5207 0.7500
W 0.5207 0.4793 0.2500

Crystal system: orthorhombic
Calculated volume: 41.78 Å³ per atom


*x*
VASP calculation (PBE-GGA) on a geometry-optimized Ba2W structure.

Cell: 5.8077 5.8077 7.5511 Å, 90.00 90.00 120.00°
Fractional positions:
Ba 0.0000 0.0000 0.0000
Ba 0.0000 0.0000 0.5000
Ba 0.3333 0.6667 0.2500
Ba 0.6667 0.3333 0.7500
W 0.3333 0.6667 0.7500
W 0.6667 0.3333 0.2500

Crystal system: hexagonal
Calculated volume: 36.76 Å³ per atom


Result of the stability comparison: *x* is the least stable of them.


*w*
VASP calculation (PBE-GGA) on a geometry-optimized Ba2W structure.

Cell: 8.0901 8.2896 3.6758 Å, 90.00 90.00 90.00°
Fractional positions:
Ba 0.2117 0.1644 0.0000
Ba 0.2883 0.6644 0.5000
Ba 0.7117 0.3356 0.5000
Ba 0.7883 0.8356 0.0000
W 0.0000 0.5000 0.0000
W 0.5000 0.0000 0.5000

Crystal system: orthorhombic
Calculated volume: 41.09 Å³ per atom


*x*
VASP calculation (PBE-GGA) on a geometry-optimized Ba2W structure.

Cell: 17.9432 17.9432 17.9432 Å, 169.13 169.13 15.40°
Fractional positions:
Ba 0.3080 0.5580 0.7500
Ba 0.4420 0.6920 0.7500
Ba 0.5580 0.3080 0.2500
Ba 0.6920 0.4420 0.2500
W 0.1250 0.8750 0.2500
W 0.8750 0.1250 0.7500

Crystal system: tetragonal
Calculated volume: 34.27 Å³ per atom


Result of the stability comparison: *w* is the least stable of them.


*w*
VASP calculation (PBE-GGA) on a geometry-optimized BaW5 structure.

Cell: 5.5623 5.5623 4.6551 Å, 90.00 90.00 130.30°
Fractional positions:
Ba 0.0000 0.0000 0.0000
W 0.1796 0.8204 0.5000
W 0.3265 0.6735 0.0000
W 0.5000 0.5000 0.5000
W 0.6735 0.3265 0.0000
W 0.8204 0.1796 0.5000

Crystal system: orthorhombic
Calculated volume: 18.31 Å³ per atom


*x*
VASP calculation (PBE-GGA) on a geometry-optimized BaW5 structure.

Cell: 5.7559 5.7559 4.3615 Å, 90.00 90.00 120.00°
Fractional positions:
Ba 0.0000 0.0000 0.0000
W 0.0000 0.5000 0.5000
W 0.3333 0.6667 0.0000
W 0.5000 0.0000 0.5000
W 0.5000 0.5000 0.5000
W 0.6667 0.3333 0.0000

Crystal system: hexagonal
Calculated volume: 20.86 Å³ per atom


*y*
VASP calculation (PBE-GGA) on a geometry-optimized BaW5 structure.

Cell: 3.1996 3.1996 11.5839 Å, 90.00 90.00 90.00°
Fractional positions:
Ba 0.0000 0.0000 0.0000
W 0.0000 0.0000 0.3608
W 0.0000 0.0000 0.6392
W 0.5000 0.5000 0.2350
W 0.5000 0.5000 0.5000
W 0.5000 0.5000 0.7650

Crystal system: tetragonal
Calculated volume: 19.77 Å³ per atom


*z*
VASP calculation (PBE-GGA) on a geometry-optimized BaW5 structure.

Cell: 4.3951 9.5563 9.5563 Å, 19.48 90.00 90.00°
Fractional positions:
Ba 0.0000 0.0000 0.0000
W 0.0000 0.3280 0.3280
W 0.0000 0.7076 0.7076
W 0.5000 0.2196 0.2196
W 0.5000 0.6168 0.6168
W 0.5000 0.8373 0.8373

Crystal system: orthorhombic
Calculated volume: 22.31 Å³ per atom


Result of the stability comparison: *w* is the least stable of them.


*w*
VASP calculation (PBE-GGA) on a geometry-optimized BaW2 structure.

Cell: 6.0212 6.0212 8.5331 Å, 92.05 92.05 30.39°
Fractional positions:
Ba 0.0000 0.0000 0.0000
Ba 0.2393 0.2393 0.7012
W 0.3512 0.3512 0.3170
W 0.6221 0.6221 0.3546
W 0.7459 0.7459 0.1193
W 0.9831 0.9831 0.4952

Crystal system: monoclinic
Calculated volume: 26.06 Å³ per atom


*x*
VASP calculation (PBE-GGA) on a geometry-optimized BaW2 structure.

Cell: 4.2567 4.2567 5.5388 Å, 90.00 90.00 120.00°
Fractional positions:
Ba 0.0000 0.0000 0.0000
W 0.3333 0.6667 0.5000
W 0.6667 0.3333 0.5000

Crystal system: hexagonal
Calculated volume: 28.97 Å³ per atom


*y*
VASP calculation (PBE-GGA) on a geometry-optimized BaW2 structure.

Cell: 3.3063 3.3063 7.7617 Å, 90.00 90.00 120.00°
Fractional positions:
Ba 0.0000 0.0000 0.0000
W 0.3333 0.6667 0.6062
W 0.6667 0.3333 0.3938

Crystal system: trigonal
Calculated volume: 24.49 Å³ per atom


*z*
VASP calculation (PBE-GGA) on a geometry-optimized BaW2 structure.

Cell: 5.8382 5.8382 9.2871 Å, 90.00 90.00 120.00°
Fractional positions:
Ba 0.3333 0.6667 0.0596
Ba 0.3333 0.6667 0.4404
Ba 0.6667 0.3333 0.5596
Ba 0.6667 0.3333 0.9404
W 0.0000 0.0000 0.0000
W 0.0000 0.0000 0.5000
W 0.1587 0.3173 0.7500
W 0.1587 0.8413 0.7500
W 0.3173 0.1587 0.2500
W 0.6827 0.8413 0.7500
W 0.8413 0.1587 0.2500
W 0.8413 0.6827 0.2500

Crystal system: hexagonal
Calculated volume: 22.84 Å³ per atom


Result of the stability comparison: *x* is the least stable of them.


*w*
VASP calculation (PBE-GGA) on a geometry-optimized BaW2 structure.

Cell: 7.6897 7.6897 7.6897 Å, 90.00 90.00 90.00°
Fractional positions:
Ba 0.0000 0.0000 0.0000
Ba 0.0000 0.5000 0.5000
Ba 0.5000 0.0000 0.5000
Ba 0.5000 0.5000 0.0000
W 0.0800 0.5800 0.9200
W 0.0800 0.9200 0.4200
W 0.4200 0.0800 0.9200
W 0.4200 0.4200 0.4200
W 0.5800 0.5800 0.5800
W 0.5800 0.9200 0.0800
W 0.9200 0.0800 0.5800
W 0.9200 0.4200 0.0800

Crystal system: cubic
Calculated volume: 37.89 Å³ per atom


*x*
VASP calculation (PBE-GGA) on a geometry-optimized BaW2 structure.

Cell: 12.1437 12.1437 4.3423 Å, 90.00 90.00 164.87°
Fractional positions:
Ba 0.1708 0.8292 0.7500
Ba 0.8292 0.1708 0.2500
W 0.0469 0.9531 0.2500
W 0.4532 0.5468 0.2500
W 0.5468 0.4532 0.7500
W 0.9531 0.0469 0.7500

Crystal system: orthorhombic
Calculated volume: 27.86 Å³ per atom


*y*
VASP calculation (PBE-GGA) on a geometry-optimized BaW2 structure.

Cell: 4.5738 4.5738 12.2330 Å, 103.43 103.43 42.53°
Fractional positions:
Ba 0.1874 0.1874 0.1688
Ba 0.8126 0.8126 0.8312
W 0.1639 0.1639 0.5535
W 0.4825 0.4825 0.6376
W 0.5175 0.5175 0.3624
W 0.8361 0.8361 0.4465

Crystal system: monoclinic
Calculated volume: 27.92 Å³ per atom


Result of the stability comparison: *w* is the least stable of them.


*w*
VASP calculation (PBE-GGA) on a geometry-optimized BaW2 structure.

Cell: 7.8863 7.8863 7.8863 Å, 144.17 144.17 51.57°
Fractional positions:
Ba 0.3750 0.6250 0.7500
Ba 0.6250 0.3750 0.2500
W 0.0408 0.7908 0.2500
W 0.2092 0.9592 0.2500
W 0.7908 0.0408 0.7500
W 0.9592 0.2092 0.7500

Crystal system: tetragonal
Calculated volume: 27.86 Å³ per atom


*x*
VASP calculation (PBE-GGA) on a geometry-optimized BaW2 structure.

Cell: 5.5184 5.5184 2.7829 Å, 90.00 90.00 90.00°
Fractional positions:
Ba 0.0000 0.0000 0.0000
W 0.0000 0.5000 0.5000
W 0.5000 0.0000 0.5000

Crystal system: tetragonal
Calculated volume: 28.25 Å³ per atom


*y*
VASP calculation (PBE-GGA) on a geometry-optimized BaW2 structure.

Cell: 4.4617 4.4617 11.1777 Å, 90.33 90.33 60.00°
Fractional positions:
Ba 0.1637 0.1637 0.1913
Ba 0.8363 0.8363 0.8087
W 0.1671 0.1671 0.5414
W 0.4990 0.4990 0.3937
W 0.5010 0.5010 0.6063
W 0.8329 0.8329 0.4586

Crystal system: monoclinic
Calculated volume: 32.11 Å³ per atom


Result of the stability comparison: *x* is the least stable of them.